## La7Sm3 (PBE)

Data for La7Sm3 after structural relaxation.

Results
DFT total energy ... -48.23 eV per formula unit
Density of states at the Fermi level ... 15.59 states/eV/cell
Calculated density ... 6.6 g cm⁻³
Formation enthalpy at 0 K ... 42 meV/atom

```
La7Sm3
1.0
-1.258 -4.803 2.728
5.977 -3.107 -2.715
2.217 6.696 6.929
La Sm
7 3
direct
0.000 0.500 0.000
0.199 0.199 0.398
0.801 0.801 0.602
0.395 0.145 0.790
0.605 0.855 0.210
0.395 0.644 0.790
0.605 0.356 0.210
0.000 0.000 0.000
0.199 0.699 0.398
0.801 0.301 0.602
```


## Rb2Cd2In3 (PBE)

Data for Rb2Cd2In3 after structural relaxation.

Results
DFT total energy ... -12.40 eV per formula unit
Density of states at the Fermi level ... 3.21 states/eV/cell
Calculated density ... 5.0 g cm⁻³
Formation enthalpy at 0 K ... -60 meV/atom

```
Rb2Cd2In3
1.0
-0.598 4.664 1.516
-3.866 -1.161 -6.006
-2.580 -2.939 8.028
Rb Cd In
2 2 3
direct
0.858 0.716 0.232
0.142 0.284 0.768
0.874 0.747 0.791
0.126 0.253 0.209
0.500 0.000 0.000
0.633 0.266 0.433
0.367 0.734 0.567
```


## Sr2TcHg (PBE)

Data for Sr2TcHg after structural relaxation.

Results
DFT total energy ... -10.44 eV per formula unit
Density of states at the Fermi level ... 7.91 states/eV/cell
Calculated density ... 6.6 g cm⁻³
Formation enthalpy at 0 K ... 897 meV/atom

```
Sr2TcHg
1.0
-4.124 -2.062 1.091
2.332 -3.643 1.933
-0.901 2.093 10.837
Sr Hg Tc
4 2 2
direct
0.615 0.125 0.250
0.135 0.625 0.250
0.375 0.385 0.750
0.875 0.865 0.750
0.000 0.000 0.000
0.750 0.250 0.500
0.500 0.500 0.000
0.250 0.750 0.500
```


## RbBeO3 (PBE)

Data for RbBeO3 after structural relaxation.

Results
ΔE_f (raw) ... 1.47 eV per atom
DFT total energy ... -12.22 eV per formula unit
Density of states at the Fermi level ... 1.33 states/eV/cell
Calculated density ... 3.2 g cm⁻³

```
RbBeO3
1.0
-3.097 2.450 -1.419
-2.607 -1.649 2.844
1.103 2.981 2.739
Be O Rb
1 3 1
direct
0.500 0.500 0.500
0.000 0.500 0.000
0.000 0.000 0.500
0.500 0.000 0.000
0.000 0.000 0.000
```


## Ba2Al4Hg3Ge (PBE)

Data for Ba2Al4Hg3Ge after structural relaxation.

Results
DFT total energy ... -27.43 eV per formula unit
Density of states at the Fermi level ... 4.29 states/eV/cell
Calculated density ... 7.0 g cm⁻³
Formation enthalpy at 0 K ... -309 meV/atom

```
Ba2Al4Hg3Ge
1.0
-2.013 4.028 -1.395
-3.165 -0.379 3.473
6.830 5.787 6.857
Ba Al Hg Ge
2 4 3 1
direct
0.500 0.000 0.255
0.000 0.500 0.745
0.500 0.500 0.000
0.000 0.000 0.000
0.500 0.000 0.625
0.000 0.500 0.375
0.000 0.000 0.500
0.500 0.000 0.867
0.000 0.500 0.133
0.500 0.500 0.500
```


## LiPm2SnS4 (PBE)

Data for LiPm2SnS4 after structural relaxation.

Results
ΔE_f (raw) ... -1.45 eV per atom
DFT total energy ... -43.50 eV per formula unit
Density of states at the Fermi level ... 3.09 states/eV/cell
Calculated density ... 4.8 g cm⁻³

```
LiPm2SnS4
1.0
4.031 0.000 0.000
0.000 7.070 -0.198
0.000 2.435 6.484
Li Pm Sn S
1 2 1 4
direct
0.500 0.500 0.000
0.000 0.000 0.000
0.500 0.000 0.500
0.000 0.500 0.500
0.000 0.751 0.753
0.000 0.249 0.247
0.500 0.751 0.243
0.500 0.249 0.757
```


## VZn4Ru (PBE)

Data for VZn4Ru after structural relaxation.

Results
DFT total energy ... -23.50 eV per formula unit
Density of states at the Fermi level ... 2.97 states/eV/cell
Calculated density ... 8.3 g cm⁻³
Formation enthalpy at 0 K ... -2 meV/atom

```
VZn4Ru
1.0
4.890 0.000 0.000
2.445 4.235 0.000
2.445 1.412 3.993
Ru Zn V
1 4 1
direct
0.000 0.000 0.000
0.625 0.625 0.125
0.625 0.125 0.625
0.625 0.625 0.625
0.125 0.625 0.625
0.250 0.250 0.250
```


## TbNdYHo (PBE)

Data for TbNdYHo after structural relaxation.

Results
DFT total energy ... -19.90 eV per formula unit
Density of states at the Fermi level ... 9.22 states/eV/cell
Calculated density ... 7.0 g cm⁻³
Formation enthalpy at 0 K ... 135 meV/atom

```
TbNdYHo
1.0
5.715 0.000 0.000
2.858 4.950 0.000
2.858 1.650 4.667
Y Nd Tb Ho
1 1 1 1
direct
0.250 0.250 0.250
0.750 0.750 0.750
0.000 0.000 0.000
0.500 0.500 0.500
```


## K3Sr (PBE)

Data for K3Sr after structural relaxation.

Results
DFT total energy ... -4.74 eV per formula unit
Density of states at the Fermi level ... 4.37 states/eV/cell
Calculated density ... 1.3 g cm⁻³
Formation enthalpy at 0 K ... 57 meV/atom

```
K3Sr
1.0
-4.239 9.727 -11.334
-8.148 7.633 -10.788
-7.098 11.115 -8.192
Sr K
1 3
direct
0.000 0.000 0.000
0.748 0.748 0.748
0.500 0.500 0.500
0.252 0.252 0.252
```


## Tb3SmDy2 (PBE)

Data for Tb3SmDy2 after structural relaxation.

Results
DFT total energy ... -27.83 eV per formula unit
Density of states at the Fermi level ... 14.74 states/eV/cell
Calculated density ... 8.2 g cm⁻³
Formation enthalpy at 0 K ... -3 meV/atom

```
Tb3SmDy2
1.0
-4.046 2.481 5.400
-3.222 -7.484 -6.144
5.050 -4.945 1.280
Tb Sm Dy
6 2 4
direct
0.250 0.000 0.750
0.750 0.000 0.250
0.804 0.665 0.861
0.195 0.334 0.639
0.805 0.666 0.361
0.196 0.335 0.139
0.251 0.000 0.250
0.749 0.000 0.750
0.304 0.665 0.361
0.304 0.666 0.861
0.696 0.334 0.139
0.696 0.335 0.639
```


## Tb6PdAu5 (PBE)

Data for Tb6PdAu5 after structural relaxation.

Results
DFT total energy ... -59.55 eV per formula unit
Density of states at the Fermi level ... 7.78 states/eV/cell
Calculated density ... 12.1 g cm⁻³
Formation enthalpy at 0 K ... -849 meV/atom

```
Tb6PdAu5
1.0
-4.019 -1.680 2.593
2.919 -6.770 -4.814
5.366 3.823 5.842
Au Tb Pd
5 6 1
direct
0.500 0.167 0.833
0.000 0.333 0.667
0.500 0.500 0.500
0.000 0.667 0.333
0.500 0.833 0.167
0.248 0.083 0.413
0.752 0.587 0.917
0.747 0.247 0.247
0.253 0.753 0.753
0.248 0.413 0.083
0.752 0.917 0.587
0.000 0.000 0.000
```